Entry 1:
La4Sm2DyY2, optimized geometry, DFT PBE; M_tot = 0.0 μB/f.u.; formation energy from the elements = 0.0241 eV per atom
1.0
3.660 0.000 0.001
-1.829 9.358 1.660
0.003 -1.551 8.841
La Sm Dy Y
4 2 1 2
direct
0.776 0.554 0.671
0.224 0.446 0.329
0.555 0.110 0.327
0.445 0.890 0.673
0.890 0.778 0.330
0.110 0.222 0.670
0.000 0.000 0.000
0.334 0.669 0.002
0.666 0.331 0.998

Entry 2:
La6Sm2DyY, optimized geometry, DFT PBE; M_tot = 0.0 μB/f.u.; formation energy from the elements = 0.1862 eV per atom
1.0
9.203 0.000 0.928
0.000 7.023 0.000
-2.275 -3.511 5.304
La Sm Dy Y
6 2 1 1
direct
0.421 0.628 0.256
0.197 0.035 0.608
0.803 0.427 0.392
0.197 0.573 0.608
0.803 0.965 0.392
0.579 0.372 0.744
0.172 0.074 0.148
0.828 0.926 0.852
0.000 0.500 0.000
0.500 0.000 0.000

Entry 3:
La2SmDyY5, optimized geometry, DFT PBE; M_tot = 0.0 μB/f.u.; formation energy from the elements = 0.2407 eV per atom
1.0
-4.593 4.088 -6.102
-7.223 -1.208 4.628
7.136 5.505 4.466
La Sm Dy Y
4 2 2 10
direct
0.118 0.382 0.000
0.618 0.118 0.000
0.382 0.882 0.000
0.882 0.618 0.000
0.250 0.750 0.500
0.750 0.250 0.500
0.250 0.250 0.500
0.750 0.750 0.500
0.928 0.428 0.282
0.645 0.145 0.718
0.072 0.572 0.718
0.145 0.072 0.718
0.572 0.645 0.718
0.855 0.928 0.282
0.428 0.355 0.282
0.355 0.855 0.282
0.500 0.500 0.000
0.000 0.000 0.000

Entry 4:
La2SmDy2Y6, optimized geometry, DFT PBE; M_tot = 0.0 μB/f.u.; formation energy from the elements = 0.1338 eV per atom
1.0
-0.608 1.228 -6.588
-4.547 -2.396 4.343
2.010 10.975 4.363
La Sm Dy Y
2 1 2 6
direct
0.288 0.712 0.500
0.712 0.288 0.500
0.000 0.000 0.500
0.870 0.130 0.000
0.130 0.870 0.000
0.707 0.707 0.707
0.156 0.455 0.806
0.293 0.293 0.293
0.455 0.156 0.806
0.844 0.545 0.194
0.545 0.844 0.194

Question: What is the M_tot in the first record?
Answer: 0.0 μB/f.u.

Question: What is the M_tot in the first record?
Answer: 0.0 μB/f.u.

Question: Look up the formation energy from the elements of the second one.
Answer: 0.1862 eV per atom